# 1
Compound: TlSb3
Source: Alexandria via LeMat-Bulk
Functional: PBEsol
Structure: optimized geometry

The volume comes out at 111.37 Å³ per cell. Its energy is -16.1 eV for the cell shown. The mass density comes out at 8.5 Mg/m³. As for the formation energy from raw total energies: 52 meV per atom.

The structure belongs to space group Pmmm (No. 47); the cell edges are 3.1991, 5.5397 and 6.2845 Å and the angles 90.00°, 90.00° and 90.00°. The asymmetric unit holds Tl at (0.0000, 0.0000, 0.0000), Sb at (0.5000, 0.0000, 0.5000) and Sb at (0.5000, 0.5000, 0.2512).



# 2
Compound: Tl7Sb2
Source: Alexandria via LeMat-Bulk
Functional: PBEsol
Structure: optimized geometry

The volume comes out at 1538.70 Å³ per cell. Its energy is -165.7 eV for the cell shown. The mass density comes out at 10.8 Mg/m³. As for the formation energy from raw total energies: -10 meV per atom.

The structure belongs to space group Im-3m (No. 229); the cell edges are 11.5447, 11.5447 and 11.5447 Å and the angles 90.00°, 90.00° and 90.00°. The asymmetric unit holds Tl at (0.0000, 0.0000, 0.0000), Tl at (0.0000, 0.3476, 0.3476), Tl at (0.1704, 0.1704, 0.1704) and Sb at (0.0000, 0.0000, 0.3051).



# 3
Compound: TlSb
Source: Alexandria via LeMat-Bulk
Functional: PBEsol
Structure: optimized geometry

The volume comes out at 697.58 Å³ per cell. Its energy is -84.5 eV for the cell shown. The mass density comes out at 9.3 Mg/m³. As for the formation energy from raw total energies: 71 meV per atom.

The structure belongs to space group Pbcm (No. 57); the cell edges are 11.7903, 9.0640 and 6.5275 Å and the angles 90.00°, 90.00° and 90.00°. The asymmetric unit holds Tl at (0.1381, 0.2500, 0.0000), Tl at (0.1763, 0.6665, 0.2500), Tl at (0.3230, 0.0368, 0.2500), Sb at (0.0336, 0.5385, 0.7500), Sb at (0.3908, 0.0629, 0.7500) and Sb at (0.4491, 0.7500, 0.0000).



# 4
Compound: Tl3Sb
Source: Alexandria via LeMat-Bulk
Functional: PBEsol
Structure: optimized geometry

The volume comes out at 227.26 Å³ per cell. Its energy is -24.8 eV for the cell shown. The mass density comes out at 10.7 Mg/m³. As for the formation energy from raw total energies: 6 meV per atom.

The structure belongs to space group Pmmn (No. 59, origin choice 2); the cell edges are 5.5879, 6.9805 and 5.8263 Å and the angles 90.00°, 90.00° and 90.00°. The asymmetric unit holds Tl at (0.2500, 0.0021, 0.1788), Tl at (0.2500, 0.2500, 0.6703) and Sb at (0.2500, 0.7500, 0.6665).



# 5
Compound: TlSb
Source: Alexandria via LeMat-Bulk
Functional: PBEsol
Structure: optimized geometry

The volume comes out at 113.04 Å³ per cell. Its energy is -14.2 eV for the cell shown. The mass density comes out at 9.6 Mg/m³. As for the formation energy from raw total energies: 34 meV per atom.

The structure belongs to space group P2_1/m (No. 11); the cell edges are 3.1418, 5.4989 and 6.5439 Å and the angles 90.00°, 91.07° and 90.00°. The asymmetric unit holds Tl at (0.1836, 0.2500, 0.3794) and Sb at (0.4973, 0.2500, 0.8915).



# 6
Compound: Tl3Sb4
Source: Alexandria via LeMat-Bulk
Functional: PBEsol
Structure: optimized geometry

The volume comes out at 199.83 Å³ per cell. Its energy is -24.2 eV for the cell shown. The mass density comes out at 9.1 Mg/m³. As for the formation energy from raw total energies: 275 meV per atom.

The structure belongs to space group P6/mmm (No. 191); the cell edges are 6.0454, 6.0454 and 6.3135 Å and the angles 90.00°, 90.00° and 120.00°. The asymmetric unit holds Tl at (0.0000, 0.5000, 0.0000), Sb at (0.0000, 0.0000, 0.2812) and Sb at (0.3333, 0.6667, 0.5000).



# 7
Compound: Tl3Sb
Source: Alexandria via LeMat-Bulk
Functional: PBEsol
Structure: optimized geometry

The volume comes out at 227.17 Å³ per cell. Its energy is -24.9 eV for the cell shown. The mass density comes out at 10.7 Mg/m³. As for the formation energy from raw total energies: 1 meV per atom.

The structure belongs to space group I4/mmm (No. 139); the cell edges are 4.9488, 4.9488 and 9.2758 Å and the angles 90.00°, 90.00° and 90.00°. The asymmetric unit holds Tl at (0.0000, 0.0000, 0.0000), Tl at (0.0000, 0.5000, 0.2500) and Sb at (0.0000, 0.0000, 0.5000).



# 8
Compound: Tl3Sb
Source: Alexandria via LeMat-Bulk
Functional: PBEsol
Structure: optimized geometry

The volume comes out at 454.59 Å³ per cell. Its energy is -49.6 eV for the cell shown. The mass density comes out at 10.7 Mg/m³. As for the formation energy from raw total energies: 15 meV per atom.

The structure belongs to space group Fm-3m (No. 225); the cell edges are 7.6891, 7.6891 and 7.6891 Å and the angles 90.00°, 90.00° and 90.00°. The asymmetric unit holds Tl at (0.0000, 0.0000, 0.0000), Tl at (0.2500, 0.2500, 0.2500) and Sb at (0.0000, 0.0000, 0.5000).



# 9
Compound: Tl3Sb
Source: Alexandria via LeMat-Bulk
Functional: PBEsol
Structure: optimized geometry

The volume comes out at 113.42 Å³ per cell. Its energy is -12.4 eV for the cell shown. The mass density comes out at 10.8 Mg/m³. As for the formation energy from raw total energies: 19 meV per atom.

The structure belongs to space group Pmm2 (No. 25); the cell edges are 3.2475, 5.4952 and 6.3556 Å and the angles 90.00°, 90.00° and 90.00°. The asymmetric unit holds Tl at (0.0000, 0.0000, 0.0000), Tl at (0.0000, 0.5000, 0.2981), Tl at (0.5000, 0.5000, 0.7876) and Sb at (0.5000, 0.0000, 0.5039).



# 10
Compound: Tl3Sb
Source: Alexandria via LeMat-Bulk
Functional: PBEsol
Structure: optimized geometry

The volume comes out at 232.62 Å³ per cell. Its energy is -24.7 eV for the cell shown. The mass density comes out at 10.5 Mg/m³. As for the formation energy from raw total energies: 28 meV per atom.

The structure belongs to space group Pm-3n (No. 223); the cell edges are 6.1501, 6.1501 and 6.1501 Å and the angles 90.00°, 90.00° and 90.00°. The asymmetric unit holds Tl at (0.0000, 0.2500, 0.5000) and Sb at (0.0000, 0.0000, 0.0000).



# 11
Compound: TlSb2W
Source: Alexandria via LeMat-Bulk
Functional: PBEsol
Structure: optimized geometry

The volume comes out at 87.10 Å³ per cell. Its energy is -21.9 eV for the cell shown. The mass density comes out at 12.0 Mg/m³. As for the formation energy from raw total energies: 904 meV per atom.

The structure belongs to space group P4/mmm (No. 123); the cell edges are 5.0052, 5.0052 and 3.4770 Å and the angles 90.00°, 90.00° and 90.00°. The asymmetric unit holds Tl at (0.0000, 0.0000, 0.0000), Sb at (0.0000, 0.5000, 0.5000) and W at (0.5000, 0.5000, 0.0000).



# 12
Compound: TlSb2W
Source: Alexandria via LeMat-Bulk
Functional: PBEsol
Structure: optimized geometry

The volume comes out at 180.81 Å³ per cell. Its energy is -46.2 eV for the cell shown. The mass density comes out at 11.6 Mg/m³. As for the formation energy from raw total energies: 608 meV per atom.

The structure belongs to space group Amm2 (No. 38); the cell edges are 4.8587, 3.7023 and 10.0517 Å and the angles 90.00°, 90.00° and 90.00°. The asymmetric unit holds Tl at (0.0000, 0.0000, 0.0000), Sb at (0.0000, 0.0000, 0.2763), Sb at (0.5000, 0.0000, 0.6902) and W at (0.5000, 0.0000, 0.4034).



# 13
Compound: TlSb2W
Source: Alexandria via LeMat-Bulk
Functional: PBEsol
Structure: optimized geometry

The volume comes out at 190.42 Å³ per cell. Its energy is -47.5 eV for the cell shown. The mass density comes out at 11.0 Mg/m³. As for the formation energy from raw total energies: 453 meV per atom.

The structure belongs to space group Cmmm (No. 65); the cell edges are 3.6838, 5.0299 and 10.2764 Å and the angles 90.00°, 90.00° and 90.00°. The asymmetric unit holds Tl at (0.0000, 0.0000, 0.0000), Sb at (0.0000, 0.5000, 0.2992) and W at (0.0000, 0.0000, 0.5000).



# 14
Compound: TlSb3W
Source: Alexandria via LeMat-Bulk
Functional: PBEsol
Structure: optimized geometry

The volume comes out at 145.15 Å³ per cell. Its energy is -27.4 eV for the cell shown. The mass density comes out at 8.6 Mg/m³. As for the formation energy from raw total energies: 544 meV per atom.

The structure belongs to space group Pm-3m (No. 221); the cell edges are 5.2555, 5.2555 and 5.2555 Å and the angles 90.00°, 90.00° and 90.00°. The asymmetric unit holds Tl at (0.0000, 0.0000, 0.0000), Sb at (0.0000, 0.5000, 0.5000) and W at (0.5000, 0.5000, 0.5000).



# 15
Compound: TlSbW2
Source: Alexandria via LeMat-Bulk
Functional: PBEsol
Structure: optimized geometry

The volume comes out at 149.68 Å³ per cell. Its energy is -61.1 eV for the cell shown. The mass density comes out at 15.4 Mg/m³. As for the formation energy from raw total energies: 1059 meV per atom.

The structure belongs to space group C2/m (No. 12); the cell edges are 5.9285, 9.0683 and 3.0042 Å and the angles 90.00°, 112.06° and 90.00°. The asymmetric unit holds Tl at (0.0000, 0.0000, 0.0000), Sb at (0.0000, 0.5000, 0.0000) and W at (0.2500, 0.2500, 0.5000).



# 16
Compound: YTl2Sb
Source: Alexandria via LeMat-Bulk
Functional: PBEsol
Structure: optimized geometry

The volume comes out at 432.71 Å³ per cell. Its energy is -70.6 eV for the cell shown. The mass density comes out at 9.5 Mg/m³. As for the formation energy from raw total energies: -251 meV per atom.

The structure belongs to space group F-43m (No. 216); the cell edges are 7.5637, 7.5637 and 7.5637 Å and the angles 90.00°, 90.00° and 90.00°. The asymmetric unit holds Y at (0.0000, 0.0000, 0.0000), Tl at (0.0000, 0.0000, 0.5000), Tl at (0.2500, 0.2500, 0.7500) and Sb at (0.2500, 0.2500, 0.2500).



# 17
Compound: YTlSb
Source: Alexandria via LeMat-Bulk
Functional: PBEsol
Structure: optimized geometry

The volume comes out at 160.81 Å³ per cell. Its energy is -30.7 eV for the cell shown. The mass density comes out at 8.6 Mg/m³. As for the formation energy from raw total energies: -454 meV per atom.

The structure belongs to space group I4mm (No. 107); the cell edges are 4.0368, 4.0368 and 9.8685 Å and the angles 90.00°, 90.00° and 90.00°. The asymmetric unit holds Y at (0.0000, 0.0000, 0.0000), Tl at (0.0000, 0.0000, 0.6743) and Sb at (0.0000, 0.0000, 0.3591).



# 18
Compound: TlZn2Sb2
Source: Alexandria via LeMat-Bulk
Functional: PBEsol
Structure: optimized geometry

The volume comes out at 246.50 Å³ per cell. Its energy is -29.7 eV for the cell shown. The mass density comes out at 7.8 Mg/m³. As for the formation energy from raw total energies: 14 meV per atom.

The structure belongs to space group I4/mmm (No. 139); the cell edges are 3.9855, 3.9855 and 15.5184 Å and the angles 90.00°, 90.00° and 90.00°. The asymmetric unit holds Tl at (0.0000, 0.0000, 0.0000), Zn at (0.0000, 0.5000, 0.2500) and Sb at (0.0000, 0.0000, 0.3693).



# 19
Compound: TlZnSb2
Source: Alexandria via LeMat-Bulk
Functional: PBEsol
Structure: optimized geometry

The volume comes out at 98.66 Å³ per cell. Its energy is -12.5 eV for the cell shown. The mass density comes out at 8.6 Mg/m³. As for the formation energy from raw total energies: 202 meV per atom.

The structure belongs to space group Pmmm (No. 47); the cell edges are 3.8906, 4.9388 and 5.1347 Å and the angles 90.00°, 90.00° and 90.00°. The asymmetric unit holds Tl at (0.0000, 0.0000, 0.0000), Zn at (0.5000, 0.5000, 0.0000), Sb at (0.0000, 0.5000, 0.5000) and Sb at (0.5000, 0.0000, 0.5000).



# 20
Compound: TlZnSb
Source: Alexandria via LeMat-Bulk
Functional: PBEsol
Structure: optimized geometry

The volume comes out at 81.61 Å³ per cell. Its energy is -8.7 eV for the cell shown. The mass density comes out at 8.0 Mg/m³. As for the formation energy from raw total energies: 33 meV per atom.

The structure belongs to space group P3m1 (No. 156); the cell edges are 4.4296, 4.4296 and 4.8029 Å and the angles 90.00°, 90.00° and 120.00°. The asymmetric unit holds Tl at (0.0000, 0.0000, 0.0000), Zn at (0.3333, 0.6667, 0.5499) and Sb at (0.6667, 0.3333, 0.4774).